No. 1
The following is a PBE calculation of Al2PtCl2 after structural relaxation, from the Alexandria database.

```
data_Al2PtCl2
_cell_length_a 6.9441
_cell_length_b 6.9441
_cell_length_c 4.7185
_cell_angle_alpha 90.00
_cell_angle_beta 90.00
_cell_angle_gamma 90.00
_symmetry_space_group_name_H-M 'P 4/m b m'
_symmetry_Int_Tables_number 127
_symmetry_space_group_name_Hall '-P 4 2ab'
loop_
_atom_site_label
_atom_site_type_symbol
_atom_site_fract_x
_atom_site_fract_y
_atom_site_fract_z
_atom_site_occupancy
Al1 Al 0.2296 0.2704 0.0000 1
Pt1 Pt 0.0000 0.0000 0.0000 1
Cl1 Cl 0.1689 0.3311 0.5000 1
```

E_form (uncorrected) (meV/atom): -449
Offset from the most stable computed form (meV per atom): 0.0
Size of the total moment (μB/atom): 0.00

No. 2
The following is a PBE calculation of SrLiScBr6 after structural relaxation, from the Alexandria database.

```
data_SrLiScBr6
_cell_length_a 7.0025
_cell_length_b 7.0025
_cell_length_c 13.2529
_cell_angle_alpha 90.00
_cell_angle_beta 90.00
_cell_angle_gamma 120.00
_symmetry_space_group_name_H-M 'P -3 1 c'
_symmetry_Int_Tables_number 163
_symmetry_space_group_name_Hall '-P 3 2c'
loop_
_atom_site_label
_atom_site_type_symbol
_atom_site_fract_x
_atom_site_fract_y
_atom_site_fract_z
_atom_site_occupancy
Sr1 Sr 0.0000 0.0000 0.0000 1
Li1 Li 0.3333 0.6667 0.2500 1
Sc1 Sc 0.3333 0.6667 0.7500 1
Br1 Br 0.0091 0.3655 0.6348 1
```

E_form (uncorrected) (meV/atom): -1785
Size of the total moment (μB/atom): 0.00

No. 3
The following is a PBE calculation of NaGe3Te after structural relaxation, from the Alexandria database.

```
data_NaGe3Te
_cell_length_a 5.5475
_cell_length_b 5.5475
_cell_length_c 5.5475
_cell_angle_alpha 90.00
_cell_angle_beta 90.00
_cell_angle_gamma 90.00
_symmetry_space_group_name_H-M 'P m -3 m'
_symmetry_Int_Tables_number 221
_symmetry_space_group_name_Hall '-P 4 2 3'
loop_
_atom_site_label
_atom_site_type_symbol
_atom_site_fract_x
_atom_site_fract_y
_atom_site_fract_z
_atom_site_occupancy
Na1 Na 0.0000 0.0000 0.0000 1
Ge1 Ge 0.0000 0.5000 0.5000 1
Te1 Te 0.5000 0.5000 0.5000 1
```

E_form (uncorrected) (meV/atom): 678
Offset from the most stable computed form (meV per atom): 0.0
Size of the total moment (μB/atom): 0.00

No. 4
The following is a PBE calculation of LiCa2Si after structural relaxation, from the Alexandria database.

```
data_LiCa2Si
_cell_length_a 4.9640
_cell_length_b 4.9640
_cell_length_c 4.0108
_cell_angle_alpha 90.00
_cell_angle_beta 90.00
_cell_angle_gamma 90.00
_symmetry_space_group_name_H-M 'P 4/m m m'
_symmetry_Int_Tables_number 123
_symmetry_space_group_name_Hall '-P 4 2'
loop_
_atom_site_label
_atom_site_type_symbol
_atom_site_fract_x
_atom_site_fract_y
_atom_site_fract_z
_atom_site_occupancy
Li1 Li 0.0000 0.0000 0.0000 1
Ca1 Ca 0.0000 0.5000 0.5000 1
Si1 Si 0.5000 0.5000 0.0000 1
```

E_form (uncorrected) (meV/atom): -203
Size of the total moment (μB/atom): 0.00

No. 5
The following is a PBE calculation of BaPrGe4 after structural relaxation, from the Alexandria database.

```
data_BaPrGe4
_cell_length_a 8.3871
_cell_length_b 8.3871
_cell_length_c 8.3871
_cell_angle_alpha 90.00
_cell_angle_beta 90.00
_cell_angle_gamma 90.00
_symmetry_space_group_name_H-M 'F -4 3 m'
_symmetry_Int_Tables_number 216
_symmetry_space_group_name_Hall 'F -4 2 3'
loop_
_atom_site_label
_atom_site_type_symbol
_atom_site_fract_x
_atom_site_fract_y
_atom_site_fract_z
_atom_site_occupancy
Ba1 Ba 0.0000 0.0000 0.0000 1
Pr1 Pr 0.2500 0.2500 0.2500 1
Ge1 Ge 0.1168 0.1168 0.6168 1
```

Offset from the most stable computed form (meV per atom): 166.0
Size of the total moment (μB/atom): 0.00

No. 6
The following is a PBE calculation of PmEr5Tl after structural relaxation, from the Alexandria database.

```
data_PmEr5Tl
_cell_length_a 7.9220
_cell_length_b 11.4290
_cell_length_c 6.2166
_cell_angle_alpha 90.00
_cell_angle_beta 90.00
_cell_angle_gamma 90.00
_symmetry_space_group_name_H-M 'I m m 2'
_symmetry_Int_Tables_number 44
loop_
_symmetry_equiv_pos_as_xyz
'x,y,z'
'-x,-y,z'
'-x,y,z'
'x,-y,z'
'x+1/2,y+1/2,z+1/2'
'-x+1/2,-y+1/2,z+1/2'
'-x+1/2,y+1/2,z+1/2'
'x+1/2,-y+1/2,z+1/2'
loop_
_atom_site_label
_atom_site_type_symbol
_atom_site_fract_x
_atom_site_fract_y
_atom_site_fract_z
_atom_site_occupancy
Pm1 Pm 0.0000 0.0000 0.0000 1
Er1 Er 0.0000 0.2531 0.6003 1
Er2 Er 0.0000 0.5000 0.2921 1
Er3 Er 0.1865 0.0000 0.5000 1
Tl1 Tl 0.0000 0.5000 0.7637 1
```

Size of the total moment (μB/atom): 0.00
DFT total energy (eV/cell): -49.8

Question: Which formula does entry 3 have?
Answer: NaGe3Te

What did the second record say?
The following is a PBE calculation of SrLiScBr6 after structural relaxation, from the Alexandria database.

```
data_SrLiScBr6
_cell_length_a 7.0025
_cell_length_b 7.0025
_cell_length_c 13.2529
_cell_angle_alpha 90.00
_cell_angle_beta 90.00
_cell_angle_gamma 120.00
_symmetry_space_group_name_H-M 'P -3 1 c'
_symmetry_Int_Tables_number 163
_symmetry_space_group_name_Hall '-P 3 2c'
loop_
_atom_site_label
_atom_site_type_symbol
_atom_site_fract_x
_atom_site_fract_y
_atom_site_fract_z
_atom_site_occupancy
Sr1 Sr 0.0000 0.0000 0.0000 1
Li1 Li 0.3333 0.6667 0.2500 1
Sc1 Sc 0.3333 0.6667 0.7500 1
Br1 Br 0.0091 0.3655 0.6348 1
```

E_form (uncorrected) (meV/atom): -1785
Size of the total moment (μB/atom): 0.00